No. 1
## LiTm4Ag3 (PBE-GGA)

Data for an optimized crystal structure of LiTm4Ag3.

## Properties
Space-group type: I4/mmm, No. 139
ρ: 9.0 g/cm³
DOS(E_F): 0.4847 states/eV per atom
Formation energy: -0.234 eV/atom

Lattice parameters (Å, degrees): 8.0476 8.0476 8.0476 143.27 143.27 52.92
With the nearest neighbours (Å) after each atom.
Sites, in units of the cell vectors:
Li 0.0000 0.0000 0.0000  8 Tm 3.12, 2 Ag 3.49
Tm 0.1260 0.6260 0.5000  6 Ag 3.04-3.17, 2 Li 3.12
Tm 0.3740 0.8740 0.5000  6 Ag 3.04-3.17, 2 Li 3.12
Tm 0.6260 0.1260 0.5000  6 Ag 3.04-3.17, 2 Li 3.12
Tm 0.8740 0.3740 0.5000  6 Ag 3.04-3.17, 2 Li 3.12
Ag 0.2422 0.2422 0.0000  8 Tm 3.04-3.17
Ag 0.5000 0.5000 0.0000  8 Tm 3.12
Ag 0.7578 0.7578 0.0000  8 Tm 3.04-3.17

No. 2
## Li8TmAg6 (PBE-GGA)

Data for an optimized crystal structure of Li8TmAg6.

## Properties
Space-group type: R-3, No. 148
ρ: 4.8 g/cm³
DOS(E_F): 0.3742 states/eV per atom
Formation energy: -0.094 eV/atom

Lattice parameters (Å, degrees): 7.1282 7.1282 7.1282 68.18 68.18 68.18
With the nearest neighbours (Å) after each atom.
Sites, in units of the cell vectors:
Li 0.0457 0.3796 0.7035  4 Ag 2.70-2.89, 2 Li 2.94-3.00
Li 0.2049 0.2049 0.2049  6 Ag 2.77-2.79, 3 Li 3.00
Li 0.2965 0.9543 0.6204  4 Ag 2.70-2.89, 2 Li 2.94-3.00
Li 0.3796 0.7035 0.0457  4 Ag 2.70-2.89, 2 Li 2.94-3.00
Li 0.6204 0.2965 0.9543  4 Ag 2.70-2.89, 2 Li 2.94-3.00
Li 0.7035 0.0457 0.3796  4 Ag 2.70-2.89, 2 Li 2.94-3.00
Li 0.7951 0.7951 0.7951  6 Ag 2.77-2.79, 3 Li 3.00
Li 0.9543 0.6204 0.2965  4 Ag 2.70-2.89, 2 Li 2.94-3.00
Tm 0.5000 0.5000 0.5000  6 Ag 2.88
Ag 0.1202 0.8169 0.4297  6 Li 2.70-2.89, 1 Ag 2.85, 1 Tm 2.88
Ag 0.1831 0.5703 0.8798  6 Li 2.70-2.89, 1 Ag 2.85, 1 Tm 2.88
Ag 0.4297 0.1202 0.8169  6 Li 2.70-2.89, 1 Ag 2.85, 1 Tm 2.88
Ag 0.5703 0.8798 0.1831  6 Li 2.70-2.89, 1 Ag 2.85, 1 Tm 2.88
Ag 0.8169 0.4297 0.1202  6 Li 2.70-2.89, 1 Ag 2.85, 1 Tm 2.88
Ag 0.8798 0.1831 0.5703  6 Li 2.70-2.89, 1 Ag 2.85, 1 Tm 2.88

No. 3
## Li2TmAg (PBE-GGA)

Data for an optimized crystal structure of Li2TmAg.

## Properties
Space-group type: P4/mmm, No. 123
ρ: 5.6 g/cm³
DOS(E_F): 0.7792 states/eV per atom
Formation energy: -0.007 eV/atom
Energy relative to the lowest polymorph listed for this composition: 34.3 meV/atom

Lattice parameters (Å, degrees): 4.1332 4.1332 5.0568 90.00 90.00 90.00
With the nearest neighbours (Å) after each atom.
Sites, in units of the cell vectors:
Li 0.0000 0.5000 0.0000  4 Li 2.92, 4 Tm 3.27, 4 Ag 3.27
Li 0.5000 0.0000 0.0000  4 Li 2.92, 4 Tm 3.27, 4 Ag 3.27
Tm 0.0000 0.0000 0.5000  4 Ag 2.92, 8 Li 3.27
Ag 0.5000 0.5000 0.5000  4 Tm 2.92, 8 Li 3.27

V in Å³/cell, matching the order above: 185.25, 300.50, 86.39